This record from the Alexandria database describes an optimized crystal structure of Pa2PdSe4S. The functional is GGA-PBE.

## Properties
The electronic total energy comes out at -6.46 eV per atom. The raw formation energy is -1.178 eV per atom.

Lattice parameters (Å, degrees): 11.9810 3.9369 7.9234 90.00 109.67 90.00
With the nearest neighbours (Å) after each atom.
Space group C2/m (No. 12)
Symmetry-distinct sites (fractional):
Pa1 0.1572 0.0000 0.1885 (multiplicity 4)  2 S 2.79, 6 Se 2.87-3.08
Pd1 0.0000 0.0000 0.5000 (multiplicity 2)  6 Se 2.66-2.67
Se1 0.1368 0.5000 0.4510 (multiplicity 4)  2 Pd 2.67, 2 Pa 2.93
Se2 0.1700 0.0000 0.8192 (multiplicity 4)  1 Pd 2.66, 2 Pa 2.87
S1 0.0000 0.5000 0.0000 (multiplicity 2)  4 Pa 2.79

This record from the Alexandria database describes an optimized crystal structure of SmPaPdS4. The functional is GGA-PBE.

## Properties
The electronic total energy comes out at -6.54 eV per atom. The raw formation energy is -1.405 eV per atom.

Lattice parameters (Å, degrees): 6.4200 6.3951 7.6267 90.00 106.45 90.00
With the nearest neighbours (Å) after each atom.
Space group P2_1/m (No. 11)
Symmetry-distinct sites (fractional):
Sm1 0.2151 0.2500 0.0477 (multiplicity 2)  6 S 2.70-2.94
Pa1 0.2325 0.2500 0.5557 (multiplicity 2)  6 S 2.63-2.84
Pd1 0.2371 0.7500 0.3291 (multiplicity 2)  4 S 2.35-2.43
S1 0.0309 0.5190 0.7439 (multiplicity 4)  1 Pd 2.38
S2 0.4679 0.7500 0.1250 (multiplicity 2)  1 Pd 2.43, 1 Pa 2.64, 1 Sm 2.72
S3 0.4754 0.7500 0.6270 (multiplicity 2)  1 Pd 2.35, 1 Pa 2.63

This record from the Alexandria database describes an optimized crystal structure of Sr2PaPd2S6. The functional is GGA-PBE.

## Properties
The electronic total energy comes out at -5.55 eV per atom. The raw formation energy is -1.189 eV per atom.

Lattice parameters (Å, degrees): 13.2517 6.4507 7.4888 90.00 122.55 90.00
With the nearest neighbours (Å) after each atom.
Space group C2/m (No. 12)
Symmetry-distinct sites (fractional):
Sr1 0.2324 0.0000 0.2158 (multiplicity 4)  5 S 2.99-3.09
Pa1 0.0000 0.0000 0.5000 (multiplicity 2)  6 S 2.62-2.66
Pd1 0.0684 0.5000 0.2366 (multiplicity 4)  3 S 2.31-2.34
S1 0.0773 0.2635 0.8215 (multiplicity 8)  1 Pd 2.31
S2 0.2235 0.0000 0.6066 (multiplicity 4)  1 Pd 2.34, 1 Pa 2.62

This record from the Alexandria database describes an optimized crystal structure of SrPaPdS4. The functional is GGA-PBE.

## Properties
The electronic total energy comes out at -6.07 eV per atom. The raw formation energy is -1.370 eV per atom.

Lattice parameters (Å, degrees): 6.8513 5.6404 8.5187 90.00 111.01 90.00
With the nearest neighbours (Å) after each atom.
Space group P2_1/m (No. 11)
Symmetry-distinct sites (fractional):
Sr1 0.2321 0.2500 0.4492 (multiplicity 2)  6 S 2.92-3.11
Pa1 0.2310 0.2500 0.9437 (multiplicity 2)  6 S 2.67-2.85
Pd1 0.2772 0.7500 0.2063 (multiplicity 2)  4 S 2.37-2.44
S1 0.0555 0.7500 0.3669 (multiplicity 2)  1 Pd 2.38
S2 0.0601 0.7500 0.9080 (multiplicity 2)  1 Pd 2.44, 1 Pa 2.72
S3 0.4531 0.5184 0.7856 (multiplicity 4)  1 Pd 2.37, 1 S 2.61

This record from the Alexandria database describes an optimized crystal structure of SrPaPd2S4. The functional is GGA-PBE.

## Properties
The electronic total energy comes out at -5.87 eV per atom. The raw formation energy is -1.112 eV per atom.

Lattice parameters (Å, degrees): 6.5235 6.8524 7.7717 90.00 90.00 90.00
With the nearest neighbours (Å) after each atom.
Space group I222 (No. 23)
Symmetry-distinct sites (fractional):
Sr1 0.0000 0.0000 0.0000 (multiplicity 2)  8 S 3.07-3.12
Pa1 0.0000 0.0000 0.5000 (multiplicity 2)  4 S 2.62
Pd1 0.0000 0.5000 0.1843 (multiplicity 4)  4 S 2.40-2.52
S1 0.2181 0.2248 0.2968 (multiplicity 8)  2 Pd 2.40-2.52, 1 Pa 2.62

This record from the Alexandria database describes an optimized crystal structure of Sr2PaPdS5. The functional is GGA-PBE.

## Properties
The electronic total energy comes out at -5.87 eV per atom. The raw formation energy is -1.571 eV per atom.

Lattice parameters (Å, degrees): 3.9965 17.3138 12.5649 90.00 90.00 90.00
With the nearest neighbours (Å) after each atom.
Space group Cmc2_1 (No. 36)
Symmetry-distinct sites (fractional):
Sr1 0.0000 0.1111 0.0000 (multiplicity 4)  5 S 2.95-3.22
Sr2 0.0000 0.1130 0.6503 (multiplicity 4)  5 S 2.93-3.22
Pa1 0.0000 0.1956 0.3304 (multiplicity 4)  6 S 2.64-2.71
Pd1 0.0000 0.4385 0.7461 (multiplicity 4)  4 S 2.38-2.57
S1 0.0000 0.0438 0.3459 (multiplicity 4)  2 Pd 2.38, 1 Pa 2.64
S2 0.0000 0.2961 0.9759 (multiplicity 4)  2 Pa 2.71
S3 0.0000 0.2971 0.6850 (multiplicity 4)  1 Pd 2.57, 2 Pa 2.71
S4 0.0000 0.3482 0.3268 (multiplicity 4)  1 Pa 2.64
S5 0.0000 0.4984 0.0752 (multiplicity 4)  1 Pd 2.41

This record from the Alexandria database describes an optimized crystal structure of PaTe2PdS. The functional is GGA-PBE.

## Properties
The electronic total energy comes out at -5.80 eV per atom. The raw formation energy is -0.784 eV per atom.

Lattice parameters (Å, degrees): 4.1659 4.1659 14.3925 90.00 90.00 90.00
With the nearest neighbours (Å) after each atom.
Space group P4/nmm (No. 129, origin choice 2)
Symmetry-distinct sites (fractional):
Pa1 0.2500 0.2500 0.1225 (multiplicity 2)  4 S 2.73
Te1 0.2500 0.2500 0.4131 (multiplicity 2)  5 Pd 2.67-2.95
Te2 0.2500 0.2500 0.7836 (multiplicity 2)  1 Pd 2.66
Pd1 0.2500 0.2500 0.5987 (multiplicity 2)  6 Te 2.66-2.95
S1 0.2500 0.7500 0.0000 (multiplicity 2)  4 Pa 2.73, 4 S 2.95

This record from the Alexandria database describes an optimized crystal structure of PaTePdS. The functional is GGA-PBE.

## Properties
The electronic total energy comes out at -6.50 eV per atom. The raw formation energy is -1.009 eV per atom.

Lattice parameters (Å, degrees): 4.3923 4.3923 8.8642 90.00 90.00 90.00
With the nearest neighbours (Å) after each atom.
Space group P4/nmm (No. 129, origin choice 2)
Symmetry-distinct sites (fractional):
Pa1 0.2500 0.2500 0.1927 (multiplicity 2)  4 S 2.78
Te1 0.2500 0.2500 0.6863 (multiplicity 2)  4 Pd 2.75
Pd1 0.2500 0.7500 0.5000 (multiplicity 2)  4 Te 2.75
S1 0.2500 0.7500 0.0000 (multiplicity 2)  4 Pa 2.78, 4 S 3.11